[1]
The following is a DFT calculation (GGA-PBE) of a relaxed structure of CeY2Au6.

a b c (Å): 8.5117 8.5117 8.5117
angles (deg): 155.25 126.21 60.08
Last column: nearest neighbours and their distance in Å.
Sites, in units of the cell vectors:
Ce: 0.0000 0.0000 0.0000  4 Au 3.05
Y: 0.3587 0.8587 0.5000  10 Au 3.03-3.11
Y: 0.6413 0.1413 0.5000  10 Au 3.03-3.11
Au: 0.0091 0.3227 0.6865  4 Au 2.80-2.98, 3 Y 3.03-3.07
Au: 0.3173 0.5000 0.8173  3 Au 2.80-2.81, 2 Ce 3.05, 4 Y 3.11
Au: 0.3638 0.6773 0.6865  4 Au 2.80-2.98, 3 Y 3.03-3.07
Au: 0.6362 0.3227 0.3135  4 Au 2.80-2.98, 3 Y 3.03-3.07
Au: 0.6827 0.5000 0.1827  3 Au 2.80-2.81, 2 Ce 3.05, 4 Y 3.11
Au: 0.9909 0.6773 0.3135  4 Au 2.80-2.98, 3 Y 3.03-3.07

Summary:
space group	Immm (71)
crystal system	orthorhombic
total DFT energy (no corrections)	-4.988	eV per atom
energy relative to the elements	-0.708	eV/atom

[2]
The following is a DFT calculation (GGA-PBE) of a relaxed structure of Ce2YAu.

a b c (Å): 11.4776 11.4776 11.4776
angles (deg): 16.64 16.64 16.64
Last column: nearest neighbours and their distance in Å.
Sites, in units of the cell vectors:
Ce: 0.0940 0.0940 0.0940  3 Au 3.12, 1 Y 3.19, 6 Ce 3.32
Ce: 0.9060 0.9060 0.9060  3 Au 3.12, 1 Y 3.19, 6 Ce 3.32
Y: 0.0000 0.0000 0.0000  2 Ce 3.19, 6 Y 3.32
Au: 0.5000 0.5000 0.5000  6 Ce 3.12, 6 Au 3.32

Summary:
space group	R-3m (166)
crystal system	trigonal
total DFT energy (no corrections)	-5.371	eV per atom
energy relative to the elements	0.031	eV/atom

no.,Fermi-level density of states (states/eV/cell)
1,10.294
2,9.293